Material: LaAgSb
Method: DFT, PBE
State: optimized geometry

abc: 7.3593 7.3593 7.3593
angles: 90.00 90.00 90.00
Last column: nearest neighbours and their distance in Å.
Space group F-43m (No. 216)
Asymmetric unit:
La (0.0000, 0.0000, 0.0000) x4  4 Sb 3.19, 4 Ag 3.19
Ag (0.2500, 0.2500, 0.7500) x4  4 La 3.19
Sb (0.2500, 0.2500, 0.2500) x4  4 La 3.19

The magnetic moment comes out at 0.0 Bohr magnetons per cell. Its uncorrected formation energy is -0.362 eV per atom. As for the crystal system: cubic.